Entry 1:
The following is a SCAN calculation of a PBEsol-optimized structure of Co2PtSe, from the Alexandria database.

Computed properties:
DFT total energy = -123.837 eV per cell
Magnetization = 0.93 μB/atom
Energy relative to the elements, uncorrected = 0.2609 eV per atom
N(E_F) = 3.0 states/eV per cell
ρ = 12.11 g/cm³

```
Co2PtSe
1.0
-2.6238 0.0779 0.8849
0.8397 -0.6832 2.5498
0.7331 6.7844 1.5763
Co Pt Se
2 1 1
Cartesian
0.0061 0.0563 0.0131 Co
-0.7253 1.2408 2.0760 Co
0.3406 3.1518 0.7323 Pt
-0.3058 5.1225 2.9778 Se
```

=====

Entry 2:
The following is a SCAN calculation of a PBEsol-optimized structure of CoPtSe2, from the Alexandria database.

Computed properties:
DFT total energy = -127.595 eV per cell
Relative energy among the computed polymorphs = 111 meV per atom
Magnetization = 0.00 μB/atom
Energy relative to the elements, uncorrected = 0.0149 eV per atom
N(E_F) = 2.3 states/eV per cell
ρ = 10.00 g/cm³

```
CoPtSe2
1.0
3.3435 0.0000 0.0000
0.0000 3.3435 0.0000
0.0000 0.0000 6.1178
Co Se Pt
1 2 1
Cartesian
0.0000 0.0000 3.1049 Co
0.0000 0.0000 5.4702 Se
1.6717 1.6717 2.1538 Se
1.6717 1.6717 4.5655 Pt
```

=====

Entry 3:
The following is a SCAN calculation of a PBEsol-optimized structure of Co2PtSe, from the Alexandria database.

Computed properties:
DFT total energy = -123.833 eV per cell
Magnetization = 0.92 μB/atom
Energy relative to the elements, uncorrected = 0.2618 eV per atom
N(E_F) = 1.7 states/eV per cell
ρ = 12.37 g/cm³

```
Co2PtSe
1.0
-1.9907 -0.1565 3.1780
2.8721 -1.7018 1.7153
0.9222 4.2550 -1.4291
Se Co Pt
1 2 1
Cartesian
2.1175 0.8120 1.3664 Se
0.0000 0.0000 0.0000 Co
-0.3139 1.5847 2.0978 Co
0.4407 -0.9291 2.4467 Pt
```

=====

Entry 4:
The following is a SCAN calculation of a PBEsol-optimized structure of CoPtSe2, from the Alexandria database.

Computed properties:
DFT total energy = -128.037 eV per cell
Relative energy among the computed polymorphs = 0 meV per atom
Magnetization = 0.00 μB/atom
Energy relative to the elements, uncorrected = -0.0957 eV per atom
N(E_F) = 2.4 states/eV per cell
ρ = 9.90 g/cm³

```
CoPtSe2
1.0
3.2915 0.0000 0.0000
1.6457 2.8505 0.0000
1.6457 0.9502 7.3634
Pt Se Co
1 2 1
Cartesian
0.0000 0.0000 0.0000 Pt
1.6457 0.9502 4.9965 Se
4.9372 2.8505 2.3669 Se
3.2915 1.9003 3.6817 Co
```

=====

Entry 5:
The following is a SCAN calculation of a PBEsol-optimized structure of CoPtSe2, from the Alexandria database.

Computed properties:
DFT total energy = -126.276 eV per cell
Relative energy among the computed polymorphs = 440 meV per atom
Magnetization = 0.39 μB/atom
Energy relative to the elements, uncorrected = 0.3446 eV per atom
N(E_F) = 1.8 states/eV per cell
ρ = 11.36 g/cm³

```
CoPtSe2
1.0
-1.2282 -0.3820 -4.1879
1.5223 -2.7375 -0.1967
-3.6283 -2.1079 1.2564
Se Pt Co
2 1 1
Cartesian
-2.4282 -1.2450 -1.4658 Se
0.0000 0.0000 0.0000 Se
-1.0530 -2.4227 0.5298 Pt
0.1471 -1.5598 -2.1923 Co
```

=====

Entry 6:
The following is a SCAN calculation of a PBEsol-optimized structure of CoSiPt3, from the Alexandria database.

Computed properties:
DFT total energy = -236.107 eV per cell
Magnetization = 0.44 μB/atom
Energy relative to the elements, uncorrected = 0.3585 eV per atom
N(E_F) = 4.5 states/eV per cell
ρ = 12.89 g/cm³

```
CoSiPt3
1.0
4.4248 0.0000 0.0000
0.0000 4.4248 0.0000
0.0000 0.0000 4.4248
Pt Co Si
3 1 1
Cartesian
0.0000 2.2124 0.0000 Pt
0.0000 0.0000 2.2124 Pt
2.2124 0.0000 0.0000 Pt
2.2124 2.2124 2.2124 Co
0.0000 0.0000 0.0000 Si
```

=====

Entry 7:
The following is a SCAN calculation of a PBEsol-optimized structure of CoSiPt, from the Alexandria database.

Computed properties:
DFT total energy = -99.355 eV per cell
Magnetization = 0.01 μB/atom
Energy relative to the elements, uncorrected = -0.6141 eV per atom
N(E_F) = 1.3 states/eV per cell
ρ = 11.60 g/cm³

```
CoSiPt
1.0
3.8515 0.0000 0.0000
1.9257 3.3355 0.0000
1.9257 1.1118 3.1447
Co Pt Si
1 1 1
Cartesian
0.0000 0.0000 0.0000 Co
3.8515 2.2236 1.5724 Pt
1.9257 1.1118 0.7862 Si
```

=====

Entry 8:
The following is a SCAN calculation of a PBEsol-optimized structure of Co2Si2Pt, from the Alexandria database.

Computed properties:
DFT total energy = -254.200 eV per cell
Magnetization = 0.00 μB/atom
Energy relative to the elements, uncorrected = -0.4533 eV per atom
N(E_F) = 5.9 states/eV per cell
ρ = 10.60 g/cm³

```
Co2Si2Pt
1.0
2.6598 0.0000 0.0000
0.0000 6.5942 0.0000
0.0000 0.0000 6.5942
Si Pt Co
4 2 4
Cartesian
0.0000 4.2851 0.9880 Si
0.0000 0.9880 2.3091 Si
0.0000 2.3091 5.6062 Si
0.0000 5.6062 4.2851 Si
0.0000 3.2971 3.2971 Pt
0.0000 0.0000 0.0000 Pt
1.3299 0.9367 4.2338 Co
1.3299 5.6575 2.3604 Co
1.3299 2.3604 0.9367 Co
1.3299 4.2338 5.6575 Co
```

=====

Entry 9:
The following is a SCAN calculation of a PBEsol-optimized structure of CoSi2Pt, from the Alexandria database.

Computed properties:
DFT total energy = -108.175 eV per cell
Magnetization = 0.22 μB/atom
Energy relative to the elements, uncorrected = -0.1616 eV per atom
N(E_F) = 1.7 states/eV per cell
ρ = 9.71 g/cm³

```
CoSi2Pt
1.0
-0.3429 -1.5332 -2.3176
3.6897 0.5726 -0.9247
1.3229 -3.7549 2.9531
Si Co Pt
2 1 1
Cartesian
0.3206 -1.3453 0.4461 Si
0.6594 -3.9428 0.1894 Si
2.3348 -2.3577 -0.1446 Co
1.8448 0.2863 -0.4624 Pt
```

=====

Entry 10:
The following is a SCAN calculation of a PBEsol-optimized structure of Co3SnPt, from the Alexandria database.

Computed properties:
DFT total energy = -153.227 eV per cell
Magnetization = 1.38 μB/atom
N(E_F) = 4.2 states/eV per cell
ΔE_f = 0.96 eV/atom
ρ = 8.68 g/cm³

```
Co3SnPt
1.0
4.5445 0.0000 0.0000
0.0000 4.5445 0.0000
0.0000 0.0000 4.5445
Pt Co Sn
1 3 1
Cartesian
0.0000 0.0000 0.0000 Pt
0.0000 0.0000 2.2722 Co
2.2722 0.0000 0.0000 Co
0.0000 2.2722 0.0000 Co
2.2722 2.2722 2.2722 Sn
```

=====

Entry 11:
The following is a SCAN calculation of a PBEsol-optimized structure of SrCo2Pt, from the Alexandria database.

Computed properties:
DFT total energy = -125.849 eV per cell
Magnetization = 0.93 μB/atom
N(E_F) = 3.0 states/eV per cell
ΔE_f = 0.31 eV/atom
ρ = 10.43 g/cm³

```
SrCo2Pt
1.0
4.4911 0.0000 0.0000
0.0000 4.4911 0.0000
-2.2456 -2.2456 3.1624
Pt Sr Co
1 1 2
Cartesian
2.2456 2.2456 0.0000 Pt
0.0000 0.0000 0.0000 Sr
0.0000 2.2456 1.5812 Co
2.2456 0.0000 1.5812 Co
```

=====

Entry 12:
The following is a SCAN calculation of a PBEsol-optimized structure of SrCo2Pt, from the Alexandria database.

Computed properties:
DFT total energy = -126.565 eV per cell
Magnetization = 0.87 μB/atom
N(E_F) = 2.8 states/eV per cell
ΔE_f = 0.13 eV/atom
ρ = 10.22 g/cm³

```
SrCo2Pt
1.0
3.0105 0.0000 0.0297
0.0000 3.0145 0.0000
-0.0716 0.0000 7.1713
Pt Co Sr
1 2 1
Cartesian
-0.0313 0.0000 3.1714 Pt
1.4892 1.5073 1.6022 Co
3.0043 0.0000 0.6059 Co
1.4513 1.5073 5.4370 Sr
```